The following is a PBE-GGA calculation of a relaxed ZnGe2RhPb crystal, from Alexandria.

a = 4.786 Å, b = 4.929 Å, c = 4.786 Å
α = 90.00°, β = 90.00°, γ = 90.00°
Sites, in units of the cell vectors:
Pb1 0.500 0.500 0.500
Ge1 0.000 0.000 0.500
Ge2 0.500 0.000 0.000
Rh1 0.000 0.000 0.000
Zn1 0.000 0.500 0.000

Space group: No. 123
Electronic total energy, eV per cell: -21.163



The following is a PBE-GGA calculation of a relaxed Ge2RuPb2 crystal, from Alexandria.

a = 6.590 Å, b = 6.590 Å, c = 5.125 Å
α = 90.00°, β = 90.00°, γ = 90.00°
Sites, in units of the cell vectors:
Pb1 0.179 0.679 0.500
Pb2 0.679 0.821 0.500
Pb3 0.821 0.321 0.500
Pb4 0.321 0.179 0.500
Ru1 0.000 0.000 0.000
Ru2 0.500 0.500 0.000
Ge1 0.352 0.852 0.000
Ge2 0.852 0.648 0.000
Ge3 0.648 0.148 0.000
Ge4 0.148 0.352 0.000

Offset from the most stable computed form, meV/atom: 0
Space group: No. 127



The following is a PBE-GGA calculation of a relaxed GeRuPb3 crystal, from Alexandria.

a = 5.266 Å, b = 5.266 Å, c = 5.266 Å
α = 90.00°, β = 90.00°, γ = 90.00°
Sites, in units of the cell vectors:
Pb1 0.000 0.500 0.000
Pb2 0.000 0.000 0.500
Pb3 0.500 0.000 0.000
Ru1 0.000 0.000 0.000
Ge1 0.500 0.500 0.500

Offset from the most stable computed form, meV/atom: 0
Space group: No. 221



The following is a PBE-GGA calculation of a relaxed Ge2Ru2Pb crystal, from Alexandria.

a = 7.532 Å, b = 7.532 Å, c = 2.999 Å
α = 90.00°, β = 90.00°, γ = 90.00°
Sites, in units of the cell vectors:
Pb1 0.000 0.000 0.000
Pb2 0.500 0.500 0.000
Ru1 0.353 0.853 0.000
Ru2 0.853 0.647 0.000
Ru3 0.647 0.147 0.000
Ru4 0.147 0.353 0.000
Ge1 0.141 0.641 0.500
Ge2 0.641 0.859 0.500
Ge3 0.859 0.359 0.500
Ge4 0.359 0.141 0.500

Space group: No. 127
Electronic total energy, eV per cell: -62.472



The following is a PBE-GGA calculation of a relaxed GeRuPb crystal, from Alexandria.

a = 4.348 Å, b = 4.348 Å, c = 6.998 Å
α = 90.00°, β = 90.00°, γ = 90.00°
Sites, in units of the cell vectors:
Ge1 0.500 0.000 0.671
Ge2 0.000 0.500 0.329
Pb1 0.500 0.000 0.183
Pb2 0.000 0.500 0.817
Ru1 0.500 0.500 0.500
Ru2 0.000 0.000 0.500

Space group: No. 129
Electronic total energy, eV per cell: -35.433



The following is a PBE-GGA calculation of a relaxed GeRuPb3 crystal, from Alexandria.

a = 5.420 Å, b = 5.420 Å, c = 5.420 Å
α = 90.00°, β = 90.00°, γ = 90.00°
Sites, in units of the cell vectors:
Pb1 0.000 0.500 0.000
Pb2 0.000 0.000 0.500
Pb3 0.500 0.000 0.000
Ru1 0.500 0.500 0.500
Ge1 0.000 0.000 0.000

Offset from the most stable computed form, meV/atom: 763
Space group: No. 221



The following is a PBE-GGA calculation of a relaxed Ge2RuPb crystal, from Alexandria.

a = 4.969 Å, b = 4.969 Å, c = 8.572 Å
α = 73.15°, β = 73.15°, γ = 90.00°
Sites, in units of the cell vectors:
Pb1 0.000 0.000 0.000
Pb2 0.750 0.250 0.500
Ru1 0.500 0.500 0.000
Ru2 0.250 0.750 0.500
Ge1 0.500 0.125 0.250
Ge2 0.250 0.625 0.250
Ge3 0.375 0.500 0.750
Ge4 0.875 0.750 0.750

Space group: No. 122
Electronic total energy, eV per cell: -42.067



The following is a PBE-GGA calculation of a relaxed Ge2RuPb2 crystal, from Alexandria.

a = 7.280 Å, b = 7.280 Å, c = 4.536 Å
α = 90.00°, β = 90.00°, γ = 90.00°
Sites, in units of the cell vectors:
Pb1 0.334 0.834 0.000
Pb2 0.834 0.666 0.000
Pb3 0.666 0.166 0.000
Pb4 0.166 0.334 0.000
Ru1 0.000 0.000 0.000
Ru2 0.500 0.500 0.000
Ge1 0.141 0.641 0.500
Ge2 0.641 0.859 0.500
Ge3 0.859 0.359 0.500
Ge4 0.359 0.141 0.500

Offset from the most stable computed form, meV/atom: 456
Space group: No. 127



| no. | size of the total moment (μB per cell) | ρ (g/cm3) |
| --- | --- | --- |
| 1 | 0.0 | 7.661 |
| 2 | 0.0 | 9.860 |
| 3 | 0.0 | 9.045 |
| 4 | 0.0 | 10.826 |
| 5 | 0.0 | 9.561 |
| 6 | 2.2 | 8.296 |
| 7 | 0.0 | 7.802 |
| 8 | 0.4 | 9.128 |